Entry 1:
First-principles (PBE-GGA) data for a relaxed NdErCdGe crystal, as listed in the Alexandria database.

Unit cell a=5.2093 b=5.2093 c=5.2093 alpha=60.00 beta=60.00 gamma=60.00
Element x y z (fractional)
Nd (0.0000, 0.0000, 0.0000)
Er (0.5000, 0.5000, 0.5000)
Cd (0.7500, 0.7500, 0.7500)
Ge (0.2500, 0.2500, 0.2500)

Values from the calculation:
formation energy from the elements = -463 meV/atom
spin magnetization = 0.00 μB per formula unit

---

Entry 2:
First-principles (PBE-GGA) data for a relaxed PmErCdGe crystal, as listed in the Alexandria database.

Unit cell a=5.1878 b=5.1878 c=5.1878 alpha=60.00 beta=60.00 gamma=60.00
Element x y z (fractional)
Pm (0.0000, 0.0000, 0.0000)
Er (0.5000, 0.5000, 0.5000)
Cd (0.7500, 0.7500, 0.7500)
Ge (0.2500, 0.2500, 0.2500)

Values from the calculation:
formation energy from the elements = -467 meV/atom
spin magnetization = 0.00 μB per formula unit

---

Entry 3:
First-principles (PBE-GGA) data for a relaxed ErCdGePt crystal, as listed in the Alexandria database.

Unit cell a=4.8309 b=4.8309 c=4.8309 alpha=60.00 beta=60.00 gamma=60.00
Element x y z (fractional)
Er (0.0000, 0.0000, 0.0000)
Cd (0.5000, 0.5000, 0.5000)
Ge (0.2500, 0.2500, 0.2500)
Pt (0.7500, 0.7500, 0.7500)

Values from the calculation:
formation energy from the elements = -571 meV/atom
spin magnetization = 0.00 μB per formula unit